Computed, not measured: SrSiRh3 after structural relaxation at the GGA-PBE level of DFT.

Structure (CIF):
```
data_SrSiRh3
_chemical_formula_sum 'Sr1 Si1 Rh3'
_symmetry_space_group_name_H-M 'P m -3 m'
_symmetry_Int_Tables_number 221
_symmetry_space_group_name_Hall '-P 4 2 3'
_cell_length_a 4.914
_cell_length_b 4.914
_cell_length_c 4.914
_cell_angle_alpha 90.00
_cell_angle_beta 90.00
_cell_angle_gamma 90.00
loop_
_atom_site_label
_atom_site_type_symbol
_atom_site_fract_x
_atom_site_fract_y
_atom_site_fract_z
Sr1 Sr 0.000 0.000 0.000
Si1 Si 0.500 0.500 0.500
Rh1 Rh 0.000 0.000 0.500
```

Summary:
energy above the lowest structure with this stoichiometry: 2283 meV per atom
E_form (uncorrected): 1.906 eV/atom
crystal system: cubic

=====

Computed, not measured: Li5Cd2Rh after structural relaxation at the GGA-PBE level of DFT.

Structure (CIF):
```
data_Li5Cd2Rh
_chemical_formula_sum 'Li10 Cd4 Rh2'
_symmetry_space_group_name_H-M 'P b a m'
_symmetry_Int_Tables_number 55
_cell_length_a 5.655
_cell_length_b 11.352
_cell_length_c 4.132
_cell_angle_alpha 90.00
_cell_angle_beta 90.00
_cell_angle_gamma 90.00
loop_
_symmetry_equiv_pos_as_xyz
'x,y,z'
'-x,-y,-z'
'-x,-y,z'
'x,y,-z'
'x+1/2,-y+1/2,-z'
'-x+1/2,y+1/2,z'
'-x+1/2,y+1/2,-z'
'x+1/2,-y+1/2,z'
loop_
_atom_site_label
_atom_site_type_symbol
_atom_site_fract_x
_atom_site_fract_y
_atom_site_fract_z
Li1 Li 0.000 0.000 0.000
Li2 Li 0.012 0.258 0.000
Li3 Li 0.238 0.383 0.500
Cd1 Cd 0.240 0.623 0.500
Rh1 Rh 0.000 0.500 0.000
```

Summary:
ΔH_f (0 K): -0.19 eV/atom
energy above the lowest structure with this stoichiometry: 0 meV per atom
crystal system: orthorhombic

=====

Computed, not measured: ErGePd6 after structural relaxation at the GGA-PBE level of DFT.

Structure (CIF):
```
data_ErGePd6
_chemical_formula_sum 'Er1 Ge1 Pd6'
_symmetry_space_group_name_H-M 'P 4/m m m'
_symmetry_Int_Tables_number 123
_symmetry_space_group_name_Hall '-P 4 2'
_cell_length_a 4.068
_cell_length_b 4.068
_cell_length_c 7.847
_cell_angle_alpha 90.00
_cell_angle_beta 90.00
_cell_angle_gamma 90.00
loop_
_atom_site_label
_atom_site_type_symbol
_atom_site_fract_x
_atom_site_fract_y
_atom_site_fract_z
Er1 Er 0.000 0.000 0.000
Ge1 Ge 0.000 0.000 0.500
Pd1 Pd 0.000 0.500 0.265
Pd2 Pd 0.500 0.500 0.000
Pd3 Pd 0.500 0.500 0.500
```

Summary:
ΔH_f (0 K): -0.64 eV/atom
energy above the lowest structure with this stoichiometry: 0 meV per atom
crystal system: tetragonal

=====

Computed, not measured: Ca5RhAu4 after structural relaxation at the GGA-PBE level of DFT.

Structure (CIF):
```
data_Ca5RhAu4
_chemical_formula_sum 'Ca5 Rh1 Au4'
_symmetry_space_group_name_H-M 'P 4/m m m'
_symmetry_Int_Tables_number 123
_symmetry_space_group_name_Hall '-P 4 2'
_cell_length_a 3.581
_cell_length_b 3.581
_cell_length_c 18.125
_cell_angle_alpha 90.00
_cell_angle_beta 90.00
_cell_angle_gamma 90.00
loop_
_atom_site_label
_atom_site_type_symbol
_atom_site_fract_x
_atom_site_fract_y
_atom_site_fract_z
Ca1 Ca 0.000 0.000 0.000
Ca2 Ca 0.000 0.000 0.203
Ca3 Ca 0.000 0.000 0.409
Rh1 Rh 0.500 0.500 0.500
Au1 Au 0.500 0.500 0.102
Au2 Au 0.500 0.500 0.306
```

Summary:
ΔH_f (0 K): -0.70 eV/atom
crystal system: tetragonal

=====

Computed, not measured: CaTcPt2 after structural relaxation at the GGA-PBE level of DFT.

Structure (CIF):
```
data_CaTcPt2
_chemical_formula_sum 'Ca1 Tc1 Pt2'
_symmetry_space_group_name_H-M 'P m m m'
_symmetry_Int_Tables_number 47
_cell_length_a 2.844
_cell_length_b 3.736
_cell_length_c 6.821
_cell_angle_alpha 90.00
_cell_angle_beta 90.00
_cell_angle_gamma 90.00
loop_
_symmetry_equiv_pos_as_xyz
'x,y,z'
'-x,-y,-z'
'-x,-y,z'
'x,y,-z'
'x,-y,-z'
'-x,y,z'
'-x,y,-z'
'x,-y,z'
loop_
_atom_site_label
_atom_site_type_symbol
_atom_site_fract_x
_atom_site_fract_y
_atom_site_fract_z
Ca1 Ca 0.000 0.000 0.000
Tc1 Tc 0.000 0.000 0.500
Pt1 Pt 0.500 0.500 0.298
```

Summary:
ΔH_f (0 K): -0.26 eV/atom
energy above the lowest structure with this stoichiometry: 33 meV per atom
crystal system: orthorhombic

=====

Computed, not measured: TmPd2Pt3 after structural relaxation at the GGA-PBE level of DFT.

Structure (CIF):
```
data_TmPd2Pt3
_chemical_formula_sum 'Tm4 Pd8 Pt12'
_symmetry_space_group_name_H-M 'C m c m'
_symmetry_Int_Tables_number 63
_symmetry_space_group_name_Hall '-C 2c 2'
_cell_length_a 5.668
_cell_length_b 13.993
_cell_length_c 5.236
_cell_angle_alpha 90.00
_cell_angle_beta 90.00
_cell_angle_gamma 90.00
loop_
_atom_site_label
_atom_site_type_symbol
_atom_site_fract_x
_atom_site_fract_y
_atom_site_fract_z
Tm1 Tm 0.000 0.156 0.250
Pd1 Pd 0.238 0.500 0.000
Pt1 Pt 0.000 0.342 0.750
Pt2 Pt 0.248 0.171 0.750
```

Summary:
ΔH_f (0 K): -0.49 eV/atom
crystal system: orthorhombic

=====

Computed, not measured: PrUP2 after structural relaxation at the GGA-PBE level of DFT.

Structure (CIF):
```
data_PrUP2
_chemical_formula_sum 'Pr3 U3 P6'
_symmetry_space_group_name_H-M 'R -3 m'
_symmetry_Int_Tables_number 166
_symmetry_space_group_name_Hall '-R 3 2"'
_cell_length_a 4.0315
_cell_length_b 4.0315
_cell_length_c 20.2676
_cell_angle_alpha 90.00
_cell_angle_beta 90.00
_cell_angle_gamma 120.00
loop_
_atom_site_label
_atom_site_type_symbol
_atom_site_fract_x
_atom_site_fract_y
_atom_site_fract_z
Pr1 Pr 0.0000 0.0000 0.0000
U1 U 0.0000 0.0000 0.5000
P1 P 0.0000 0.0000 0.2433
```

Summary:
ΔH_f (0 K): -1.24 eV/atom
energy above the lowest structure with this stoichiometry: 0 meV per atom
crystal system: trigonal

=====

Computed, not measured: TlCd2Pd2 after structural relaxation at the GGA-PBE level of DFT.

Structure (CIF):
```
data_TlCd2Pd2
_chemical_formula_sum 'Tl2 Cd4 Pd4'
_symmetry_space_group_name_H-M 'I 4/m m m'
_symmetry_Int_Tables_number 139
_symmetry_space_group_name_Hall '-I 4 2'
_cell_length_a 4.081
_cell_length_b 4.081
_cell_length_c 13.287
_cell_angle_alpha 90.00
_cell_angle_beta 90.00
_cell_angle_gamma 90.00
loop_
_atom_site_label
_atom_site_type_symbol
_atom_site_fract_x
_atom_site_fract_y
_atom_site_fract_z
Tl1 Tl 0.000 0.000 0.000
Cd1 Cd 0.000 0.000 0.389
Pd1 Pd 0.000 0.500 0.250
```

Summary:
ΔH_f (0 K): -0.04 eV/atom
energy above the lowest structure with this stoichiometry: 215 meV per atom
crystal system: tetragonal

=====

Computed, not measured: K5UBr8 after structural relaxation at the GGA-PBE level of DFT.

Structure (CIF):
```
data_K5UBr8
_chemical_formula_sum 'K10 U2 Br16'
_symmetry_space_group_name_H-M 'I -4'
_symmetry_Int_Tables_number 82
_cell_length_a 9.811
_cell_length_b 9.811
_cell_length_c 9.815
_cell_angle_alpha 90.00
_cell_angle_beta 90.00
_cell_angle_gamma 90.00
loop_
_symmetry_equiv_pos_as_xyz
'x,y,z'
'y,-x,-z'
'-x,-y,z'
'-y,x,-z'
'x+1/2,y+1/2,z+1/2'
'y+1/2,-x+1/2,-z+1/2'
'-x+1/2,-y+1/2,z+1/2'
'-y+1/2,x+1/2,-z+1/2'
loop_
_atom_site_label
_atom_site_type_symbol
_atom_site_fract_x
_atom_site_fract_y
_atom_site_fract_z
K1 K 0.000 0.000 0.000
K2 K 0.123 0.256 0.639
U1 U 0.000 0.500 0.250
Br1 Br 0.064 0.330 0.974
Br2 Br 0.066 0.208 0.315
```

Summary:
E_form (uncorrected): -1.583 eV/atom
crystal system: tetragonal

=====

Computed, not measured: SrY2InIr after structural relaxation at the GGA-PBE level of DFT.

Structure (CIF):
```
data_SrY2InIr
_chemical_formula_sum 'Sr1 Y2 In1 Ir1'
_symmetry_space_group_name_H-M 'P 4/m m m'
_symmetry_Int_Tables_number 123
_symmetry_space_group_name_Hall '-P 4 2'
_cell_length_a 5.432
_cell_length_b 5.432
_cell_length_c 5.339
_cell_angle_alpha 90.00
_cell_angle_beta 90.00
_cell_angle_gamma 90.00
loop_
_atom_site_label
_atom_site_type_symbol
_atom_site_fract_x
_atom_site_fract_y
_atom_site_fract_z
Sr1 Sr 0.000 0.000 0.000
Y1 Y 0.000 0.500 0.500
In1 In 0.500 0.500 0.000
Ir1 Ir 0.500 0.500 0.500
```

Summary:
ΔH_f (0 K): -0.33 eV/atom
crystal system: tetragonal

=====

Computed, not measured: LiMnMo2 after structural relaxation at the GGA-PBE level of DFT.

Structure (CIF):
```
data_LiMnMo2
_chemical_formula_sum 'Li1 Mn1 Mo2'
_symmetry_space_group_name_H-M 'P 4 m m'
_symmetry_Int_Tables_number 99
_cell_length_a 3.161
_cell_length_b 3.161
_cell_length_c 5.397
_cell_angle_alpha 90.00
_cell_angle_beta 90.00
_cell_angle_gamma 90.00
loop_
_symmetry_equiv_pos_as_xyz
'x,y,z'
'-y,x,z'
'-x,-y,z'
'y,-x,z'
'-x,y,z'
'y,x,z'
'x,-y,z'
'-y,-x,z'
loop_
_atom_site_label
_atom_site_type_symbol
_atom_site_fract_x
_atom_site_fract_y
_atom_site_fract_z
Li1 Li 0.000 0.000 0.000
Mn1 Mn 0.500 0.500 0.220
Mo1 Mo 0.000 0.000 0.477
Mo2 Mo 0.500 0.500 0.760
```

Summary:
ΔH_f (0 K): 0.42 eV/atom
energy above the lowest structure with this stoichiometry: 146 meV per atom
crystal system: tetragonal

=====

Computed, not measured: LiYFe2 after structural relaxation at the GGA-PBE level of DFT.

Structure (CIF):
```
data_LiYFe2
_chemical_formula_sum 'Li2 Y2 Fe4'
_symmetry_space_group_name_H-M 'C 1 2/m 1'
_symmetry_Int_Tables_number 12
_cell_length_a 7.222
_cell_length_b 4.117
_cell_length_c 5.318
_cell_angle_alpha 90.00
_cell_angle_beta 116.51
_cell_angle_gamma 90.00
loop_
_symmetry_equiv_pos_as_xyz
'x,y,z'
'-x,-y,-z'
'-x,y,-z'
'x,-y,z'
'x+1/2,y+1/2,z'
'-x+1/2,-y+1/2,-z'
'-x+1/2,y+1/2,-z'
'x+1/2,-y+1/2,z'
loop_
_atom_site_label
_atom_site_type_symbol
_atom_site_fract_x
_atom_site_fract_y
_atom_site_fract_z
Li1 Li 0.000 0.000 0.000
Y1 Y 0.000 0.500 0.500
Fe1 Fe 0.200 0.500 0.098
```

Summary:
ΔH_f (0 K): 0.29 eV/atom
energy above the lowest structure with this stoichiometry: 147 meV per atom
crystal system: monoclinic

=====

| no. | magnetic moment (μB/f.u.) | N(E_F) (states/eV per cell) |
| --- | --- | --- |
| 1 | 0.97 | 4.769 |
| 2 | 0.00 | 7.807 |
| 3 | 0.00 | 1.988 |
| 4 | 0.00 | 6.776 |
| 5 | 0.00 | 3.759 |
| 6 | 0.00 | 29.264 |
| 7 | 2.21 | 15.085 |
| 8 | 0.00 | 3.968 |
| 9 | 3.00 | 16.024 |
| 10 | 0.00 | 3.064 |
| 11 | 0.00 | 3.466 |
| 12 | 4.53 | 7.266 |